[1]
Entry from the Alexandria database: a geometry-optimized TlFe3Br structure (PBE).

The value obtained for the density of states at the Fermi level is 3.537 states/eV/cell. For the raw formation energy, the calculation gives 1.056 eV per atom. The theoretical density comes out at 8.3 g cm⁻³. Its space group is Pm-3m.

a b c (Å): 4.4861 4.4861 4.4861
angles (deg): 90.00 90.00 90.00
Atoms (fractional coordinates):
Tl (0.0000, 0.0000, 0.0000)
Fe (0.0000, 0.5000, 0.5000)
Fe (0.5000, 0.0000, 0.5000)
Fe (0.5000, 0.5000, 0.0000)
Br (0.5000, 0.5000, 0.5000)


[2]
Entry from the Alexandria database: a geometry-optimized Tl2FeBr structure (PBE).

The value obtained for the density of states at the Fermi level is 3.906 states/eV/cell. For the raw formation energy, the calculation gives 0.136 eV per atom. The theoretical density comes out at 8.3 g cm⁻³. Its space group is Amm2.

a b c (Å): 3.3736 8.3940 8.3940
angles (deg): 27.17 90.00 90.00
Atoms (fractional coordinates):
Tl (0.0000, 0.0000, 0.0000)
Tl (0.5000, 0.3542, 0.3542)
Fe (0.5000, 0.5689, 0.5689)
Br (0.0000, 0.6814, 0.6814)


[3]
Entry from the Alexandria database: a geometry-optimized TmFe2Br8 structure (PBE).

The value obtained for the density of states at the Fermi level is 4.355 states/eV/cell. For the raw formation energy, the calculation gives -0.950 eV per atom. The theoretical density comes out at 3.6 g cm⁻³. Its space group is C2/m.

a b c (Å): 8.1686 8.1686 6.5262
angles (deg): 93.09 93.09 79.39
Atoms (fractional coordinates):
Tm (0.0000, 0.0000, 0.0000)
Fe (0.1952, 0.1952, 0.6424)
Fe (0.8048, 0.8048, 0.3576)
Br (0.0860, 0.7201, 0.2309)
Br (0.1851, 0.1851, 0.2692)
Br (0.2799, 0.9140, 0.7691)
Br (0.3708, 0.3708, 0.7632)
Br (0.6292, 0.6292, 0.2368)
Br (0.7201, 0.0860, 0.2309)
Br (0.8149, 0.8149, 0.7308)
Br (0.9140, 0.2799, 0.7691)


[4]
Entry from the Alexandria database: a geometry-optimized TmFeBr structure (PBE).

The value obtained for the density of states at the Fermi level is 4.217 states/eV/cell. For the raw formation energy, the calculation gives -0.945 eV per atom. The theoretical density comes out at 6.9 g cm⁻³. Its space group is R-3m.

a b c (Å): 11.7811 11.7811 11.7811
angles (deg): 18.69 18.69 18.69
Atoms (fractional coordinates):
Tm (0.0560, 0.0560, 0.0560)
Tm (0.9440, 0.9440, 0.9440)
Fe (0.3357, 0.3357, 0.3357)
Fe (0.6643, 0.6643, 0.6643)
Br (0.2225, 0.2225, 0.2225)
Br (0.7775, 0.7775, 0.7775)


[5]
Entry from the Alexandria database: a geometry-optimized UFeBr6 structure (PBE).

The value obtained for the density of states at the Fermi level is 8.287 states/eV/cell. For the raw formation energy, the calculation gives -0.933 eV per atom. The theoretical density comes out at 4.6 g cm⁻³. Its space group is C2/m.

a b c (Å): 7.5279 7.5279 6.6405
angles (deg): 98.52 98.52 127.68
Atoms (fractional coordinates):
U (0.0000, 0.0000, 0.0000)
Fe (0.5000, 0.5000, 0.5000)
Br (0.1236, 0.4056, 0.2639)
Br (0.2534, 0.2534, 0.7458)
Br (0.4056, 0.1236, 0.2639)
Br (0.5944, 0.8764, 0.7361)
Br (0.7466, 0.7466, 0.2542)
Br (0.8764, 0.5944, 0.7361)


[6]
Entry from the Alexandria database: a geometry-optimized VFe3Br structure (PBE).

The value obtained for the density of states at the Fermi level is 8.078 states/eV/cell. For the raw formation energy, the calculation gives 1.374 eV per atom. The theoretical density comes out at 6.0 g cm⁻³. Its space group is Pm-3m.

a b c (Å): 4.3449 4.3449 4.3449
angles (deg): 90.00 90.00 90.00
Atoms (fractional coordinates):
V (0.0000, 0.0000, 0.0000)
Fe (0.0000, 0.5000, 0.5000)
Fe (0.5000, 0.0000, 0.5000)
Fe (0.5000, 0.5000, 0.0000)
Br (0.5000, 0.5000, 0.5000)


[7]
Entry from the Alexandria database: a geometry-optimized VFe2Br8 structure (PBE).

The value obtained for the density of states at the Fermi level is 4.948 states/eV/cell. For the raw formation energy, the calculation gives -0.575 eV per atom. The theoretical density comes out at 3.5 g cm⁻³. Its space group is C2/m.

a b c (Å): 7.8738 7.8738 6.2385
angles (deg): 91.95 91.95 81.67
Atoms (fractional coordinates):
V (0.0000, 0.0000, 0.0000)
Fe (0.1894, 0.1894, 0.6473)
Fe (0.8106, 0.8106, 0.3527)
Br (0.0929, 0.7293, 0.2138)
Br (0.1805, 0.1805, 0.2608)
Br (0.2707, 0.9071, 0.7862)
Br (0.3766, 0.3766, 0.7516)
Br (0.6234, 0.6234, 0.2484)
Br (0.7293, 0.0929, 0.2138)
Br (0.8195, 0.8195, 0.7392)
Br (0.9071, 0.2707, 0.7862)


[8]
Entry from the Alexandria database: a geometry-optimized V3FeBr structure (PBE).

The value obtained for the density of states at the Fermi level is 5.057 states/eV/cell. For the raw formation energy, the calculation gives 0.901 eV per atom. The theoretical density comes out at 5.5 g cm⁻³. Its space group is Pm-3m.

a b c (Å): 4.4311 4.4311 4.4311
angles (deg): 90.00 90.00 90.00
Atoms (fractional coordinates):
V (0.0000, 0.0000, 0.5000)
V (0.0000, 0.5000, 0.0000)
V (0.5000, 0.0000, 0.0000)
Fe (0.0000, 0.0000, 0.0000)
Br (0.5000, 0.5000, 0.5000)


[9]
Entry from the Alexandria database: a geometry-optimized V3FeBr structure (PBE).

The value obtained for the density of states at the Fermi level is 5.428 states/eV/cell. For the raw formation energy, the calculation gives 1.263 eV per atom. The theoretical density comes out at 5.4 g cm⁻³. Its space group is Pm-3m.

a b c (Å): 4.4506 4.4506 4.4506
angles (deg): 90.00 90.00 90.00
Atoms (fractional coordinates):
V (0.0000, 0.0000, 0.5000)
V (0.0000, 0.5000, 0.0000)
V (0.5000, 0.0000, 0.0000)
Fe (0.5000, 0.5000, 0.5000)
Br (0.0000, 0.0000, 0.0000)


[10]
Entry from the Alexandria database: a geometry-optimized VFe3Br structure (PBE).

The value obtained for the density of states at the Fermi level is 5.625 states/eV/cell. For the raw formation energy, the calculation gives 1.256 eV per atom. The theoretical density comes out at 5.6 g cm⁻³. Its space group is Pm-3m.

a b c (Å): 4.4449 4.4449 4.4449
angles (deg): 90.00 90.00 90.00
Atoms (fractional coordinates):
V (0.0000, 0.0000, 0.0000)
Fe (0.0000, 0.0000, 0.5000)
Fe (0.0000, 0.5000, 0.0000)
Fe (0.5000, 0.0000, 0.0000)
Br (0.5000, 0.5000, 0.5000)


[11]
Entry from the Alexandria database: a geometry-optimized FeWBr2 structure (PBE).

The value obtained for the density of states at the Fermi level is 4.344 states/eV/cell. For the raw formation energy, the calculation gives 0.876 eV per atom. The theoretical density comes out at 8.6 g cm⁻³. Its space group is R-3m.

a b c (Å): 9.2934 9.2934 9.2934
angles (deg): 19.39 19.39 19.39
Atoms (fractional coordinates):
Fe (0.0000, 0.0000, 0.0000)
W (0.5000, 0.5000, 0.5000)
Br (0.0954, 0.0954, 0.0954)
Br (0.9046, 0.9046, 0.9046)


[12]
Entry from the Alexandria database: a geometry-optimized FeWBr2 structure (PBE).

The value obtained for the density of states at the Fermi level is 3.337 states/eV/cell. For the raw formation energy, the calculation gives 0.236 eV per atom. The theoretical density comes out at 7.5 g cm⁻³. Its space group is Pm.

a b c (Å): 3.2475 3.1212 8.7408
angles (deg): 90.00 90.74 90.00
Atoms (fractional coordinates):
Fe (0.0000, 0.0000, 0.0000)
W (0.5057, 0.5000, 0.1522)
Br (0.5141, 0.0000, 0.3813)
Br (0.9927, 0.5000, 0.7853)


[13]
Entry from the Alexandria database: a geometry-optimized FeW4Br structure (PBE).

The value obtained for the density of states at the Fermi level is 6.089 states/eV/cell. For the raw formation energy, the calculation gives 1.196 eV per atom. The theoretical density comes out at 13.5 g cm⁻³. Its space group is F-43m.

a b c (Å): 5.3283 5.3283 5.3283
angles (deg): 60.00 60.00 60.00
Atoms (fractional coordinates):
Fe (0.0000, 0.0000, 0.0000)
W (0.1233, 0.6256, 0.6256)
W (0.6256, 0.1233, 0.6256)
W (0.6256, 0.6256, 0.1233)
W (0.6256, 0.6256, 0.6256)
Br (0.2500, 0.2500, 0.2500)


[14]
Entry from the Alexandria database: a geometry-optimized FeW2Br2 structure (PBE).

The value obtained for the density of states at the Fermi level is 4.185 states/eV/cell. For the raw formation energy, the calculation gives 1.348 eV per atom. The theoretical density comes out at 9.5 g cm⁻³. Its space group is I4/mmm.

a b c (Å): 6.6648 6.6648 6.6648
angles (deg): 144.05 144.05 51.75
Atoms (fractional coordinates):
Fe (0.0000, 0.0000, 0.0000)
W (0.4026, 0.4026, 0.0000)
W (0.5974, 0.5974, 0.0000)
Br (0.2500, 0.7500, 0.5000)
Br (0.7500, 0.2500, 0.5000)